A crystal of RuPt2Br relaxed with PBEsol, computed with meta-GGA SCAN.

a = 3.922 Å, b = 3.922 Å, c = 8.160 Å
α = 90.00°, β = 90.00°, γ = 90.00°
Space group I4/mmm (No. 139)
One atom of each set of equivalent atoms:
Ru  0.000  0.000  0.000
Pt  0.000  0.500  0.250
Br  0.000  0.000  0.500

Properties
- Energy relative to the lowest polymorph listed for this composition: 42.33 kJ/mol of atoms
- Energy relative to the elements, uncorrected: 0.96 eV/atom
- VASP energy: -47.7079 eV per atom


A crystal of RuPt2Br relaxed with PBEsol, computed with meta-GGA SCAN.

a = 2.752 Å, b = 4.836 Å, c = 9.763 Å
α = 90.00°, β = 90.00°, γ = 90.00°
Space group Cmmm (No. 65)
One atom of each set of equivalent atoms:
Ru  0.000  0.000  0.000
Pt  0.000  0.500  0.229
Br  0.000  0.000  0.500

Properties
- Energy relative to the lowest polymorph listed for this composition: 6.91 kJ/mol of atoms
- Energy relative to the elements, uncorrected: 0.59 eV/atom
- VASP energy: -48.0750 eV per atom


A crystal of RuPt2Br relaxed with PBEsol, computed with meta-GGA SCAN.

a = 2.776 Å, b = 2.776 Å, c = 8.689 Å
α = 90.00°, β = 90.00°, γ = 90.00°
Space group P4/mmm (No. 123)
One atom of each set of equivalent atoms:
Ru  0.000  0.000  0.000
Pt  0.500  0.500  0.207
Br  0.000  0.000  0.500

Properties
- Energy relative to the lowest polymorph listed for this composition: 0.00 kJ/mol of atoms
- Energy relative to the elements, uncorrected: 0.52 eV/atom
- VASP energy: -48.1466 eV per atom


A crystal of Pt2SBr relaxed with PBEsol, computed with meta-GGA SCAN.

a = 6.363 Å, b = 6.363 Å, c = 6.363 Å
α = 90.00°, β = 90.00°, γ = 90.00°
Space group Fm-3m (No. 225)
One atom of each set of equivalent atoms:
Pt  0.250  0.250  0.250
S  0.000  0.000  0.000
Br  0.000  0.000  0.500

Properties
- Energy relative to the elements, uncorrected: 0.88 eV/atom
- VASP energy: -41.4859 eV per atom


A crystal of PtSe2SBr relaxed with PBEsol, computed with meta-GGA SCAN.

a = 4.867 Å, b = 4.867 Å, c = 4.947 Å
α = 90.00°, β = 90.00°, γ = 90.00°
Space group P4/mmm (No. 123)
One atom of each set of equivalent atoms:
Pt  0.000  0.000  0.000
Se  0.000  0.500  0.000
S  0.500  0.500  0.500
Br  0.000  0.000  0.500

Properties
- Energy relative to the elements, uncorrected: 0.74 eV/atom
- VASP energy: -27.1517 eV per atom


A crystal of SbPtBr2 relaxed with PBEsol, computed with meta-GGA SCAN.

a = 6.944 Å, b = 6.944 Å, c = 6.944 Å
α = 90.00°, β = 90.00°, γ = 90.00°
Space group F-43m (No. 216)
One atom of each set of equivalent atoms:
Sb  0.000  0.000  0.000
Pt  0.250  0.250  0.750
Br  0.000  0.000  0.500
Br  0.250  0.250  0.250

Properties
- Energy relative to the elements, uncorrected: 0.42 eV/atom
- VASP energy: -36.1705 eV per atom